Sm6Os2SCl3 PBE optimized geometry; DOS at the Fermi energy = 8.85 states/eV/cell; total magnetic moment = 0.00 μB per formula unit; energy relative to the elements, uncorrected = -1123 meV per atom; raw total energy = -6.16 eV per atom
1.0
3.5497 -6.1508 0.0000
3.5497 6.1508 0.0000
-2.3600 0.0000 7.3213
Sm Os S Cl
6 2 1 3
Direct
0.0844 0.4320 0.7935
0.2196 0.2196 0.2049
0.4320 0.0844 0.7935
0.5680 0.9156 0.2065
0.7804 0.7804 0.7951
0.9156 0.5680 0.2065
0.1674 0.8326 0.0000
0.8326 0.1674 0.0000
0.5000 0.5000 0.0000
0.0000 0.0000 0.5000
0.3382 0.6618 0.5000
0.6618 0.3382 0.5000